1.
! GGA-PBE MgTa3Sn, optimized geometry; values from VASP
&SYSTEM
  ibrav = 0, nat = 5, ntyp = 3
/
ATOMIC_SPECIES
Mg 24.30 Mg.upf
Ta 180.95 Ta.upf
Sn 118.71 Sn.upf
CELL_PARAMETERS angstrom
4.747 0.000 0.000
0.000 4.747 0.000
0.000 0.000 4.747
ATOMIC_POSITIONS crystal
Mg 0.000 0.000 0.000
Ta 0.000 0.000 0.500
Ta 0.000 0.500 0.000
Ta 0.500 0.000 0.000
Sn 0.500 0.500 0.500
! Crystal system ... cubic
! Total moment ... 0.000 Bohr magnetons per cell
! Density of states at the Fermi level ... 5.267 states/eV/cell
! Excess energy over the best structure of this formula in the dataset ... 0.00 eV/f.u.
! E_form ... 1655 meV per atom
! Calculated total energy ... -32.88 eV/cell

***

2.
! GGA-PBE Mg2TaSn2, optimized geometry; values from VASP
&SYSTEM
  ibrav = 0, nat = 10, ntyp = 3
/
ATOMIC_SPECIES
Mg 24.30 Mg.upf
Ta 180.95 Ta.upf
Sn 118.71 Sn.upf
CELL_PARAMETERS angstrom
7.447 0.000 0.000
0.000 7.447 0.000
0.000 0.000 4.046
ATOMIC_POSITIONS crystal
Mg 0.163 0.337 0.000
Mg 0.337 0.837 0.000
Mg 0.663 0.163 0.000
Mg 0.837 0.663 0.000
Ta 0.000 0.000 0.500
Ta 0.500 0.500 0.500
Sn 0.144 0.644 0.500
Sn 0.356 0.144 0.500
Sn 0.644 0.856 0.500
Sn 0.856 0.356 0.500
! Crystal system ... tetragonal
! Total moment ... 0.000 Bohr magnetons per cell
! Density of states at the Fermi level ... 7.728 states/eV/cell
! E_form ... 224 meV per atom
! Calculated total energy ... -43.86 eV/cell

***

3.
! GGA-PBE MgTaSn3, optimized geometry; values from VASP
&SYSTEM
  ibrav = 0, nat = 5, ntyp = 3
/
ATOMIC_SPECIES
Mg 24.30 Mg.upf
Ta 180.95 Ta.upf
Sn 118.71 Sn.upf
CELL_PARAMETERS angstrom
5.218 0.000 0.000
0.000 5.218 0.000
0.000 0.000 5.218
ATOMIC_POSITIONS crystal
Mg 0.000 0.000 0.000
Ta 0.500 0.500 0.500
Sn 0.000 0.000 0.500
Sn 0.000 0.500 0.000
Sn 0.500 0.000 0.000
! Crystal system ... cubic
! Total moment ... 2.330 Bohr magnetons per cell
! Density of states at the Fermi level ... 6.448 states/eV/cell
! Excess energy over the best structure of this formula in the dataset ... 4.27 eV/f.u.
! E_form ... 1262 meV per atom
! Calculated total energy ... -19.14 eV/cell

***

4.
! GGA-PBE MgTa2Sn, optimized geometry; values from VASP
&SYSTEM
  ibrav = 0, nat = 8, ntyp = 3
/
ATOMIC_SPECIES
Mg 24.30 Mg.upf
Ta 180.95 Ta.upf
Sn 118.71 Sn.upf
CELL_PARAMETERS angstrom
-3.828 3.828 2.851
3.828 -3.828 2.851
3.828 3.828 -2.851
ATOMIC_POSITIONS crystal
Mg 0.000 0.000 0.000
Mg 0.750 0.250 0.500
Ta 0.131 0.625 0.006
Ta 0.375 0.381 0.506
Ta 0.619 0.125 0.994
Ta 0.875 0.869 0.494
Sn 0.250 0.750 0.500
Sn 0.500 0.500 0.000
! Crystal system ... tetragonal
! Total moment ... 0.000 Bohr magnetons per cell
! Density of states at the Fermi level ... 2.289 states/eV/cell
! E_form ... 712 meV per atom
! Calculated total energy ... -52.91 eV/cell

***

5.
! GGA-PBE MgTaSn3, optimized geometry; values from VASP
&SYSTEM
  ibrav = 0, nat = 5, ntyp = 3
/
ATOMIC_SPECIES
Mg 24.30 Mg.upf
Ta 180.95 Ta.upf
Sn 118.71 Sn.upf
CELL_PARAMETERS angstrom
5.412 0.000 0.000
0.000 5.412 0.000
0.000 0.000 5.412
ATOMIC_POSITIONS crystal
Mg 0.000 0.000 0.000
Ta 0.500 0.500 0.500
Sn 0.000 0.500 0.500
Sn 0.500 0.000 0.500
Sn 0.500 0.500 0.000
! Crystal system ... cubic
! Total moment ... 0.000 Bohr magnetons per cell
! Density of states at the Fermi level ... 5.169 states/eV/cell
! Excess energy over the best structure of this formula in the dataset ... 0.00 eV/f.u.
! E_form ... 408 meV per atom
! Calculated total energy ... -23.42 eV/cell

***

6.
! GGA-PBE TbMg7Sn4, optimized geometry; values from VASP
&SYSTEM
  ibrav = 0, nat = 12, ntyp = 3
/
ATOMIC_SPECIES
Tb 158.93 Tb.upf
Mg 24.30 Mg.upf
Sn 118.71 Sn.upf
CELL_PARAMETERS angstrom
6.305 -2.862 0.000
6.305 2.862 0.000
-6.077 0.000 8.681
ATOMIC_POSITIONS crystal
Tb 0.000 0.000 0.000
Mg 0.079 0.079 0.415
Mg 0.295 0.295 0.360
Mg 0.313 0.313 0.097
Mg 0.500 0.500 0.000
Mg 0.687 0.687 0.903
Mg 0.705 0.705 0.640
Mg 0.921 0.921 0.585
Sn 0.208 0.208 0.772
Sn 0.404 0.404 0.684
Sn 0.596 0.596 0.316
Sn 0.792 0.792 0.228
! Crystal system ... monoclinic
! Total moment ... 0.000 Bohr magnetons per cell
! Density of states at the Fermi level ... 5.936 states/eV/cell
! E_form ... 31 meV per atom
! Calculated total energy ... -31.43 eV/cell

***

7.
! GGA-PBE Tb2Mg2Sn3, optimized geometry; values from VASP
&SYSTEM
  ibrav = 0, nat = 14, ntyp = 3
/
ATOMIC_SPECIES
Tb 158.93 Tb.upf
Mg 24.30 Mg.upf
Sn 118.71 Sn.upf
CELL_PARAMETERS angstrom
8.159 -2.347 0.000
8.159 2.347 0.000
-7.526 0.000 9.828
ATOMIC_POSITIONS crystal
Tb 0.070 0.070 0.424
Tb 0.234 0.234 0.827
Tb 0.766 0.766 0.173
Tb 0.930 0.930 0.576
Mg 0.100 0.100 0.178
Mg 0.452 0.452 0.181
Mg 0.548 0.548 0.819
Mg 0.900 0.900 0.822
Sn 0.131 0.131 0.974
Sn 0.317 0.317 0.635
Sn 0.398 0.398 0.371
Sn 0.602 0.602 0.629
Sn 0.683 0.683 0.365
Sn 0.869 0.869 0.026
! Crystal system ... monoclinic
! Total moment ... 0.000 Bohr magnetons per cell
! Density of states at the Fermi level ... 6.483 states/eV/cell
! Excess energy over the best structure of this formula in the dataset ... 0.00 eV/f.u.
! E_form ... -477 meV per atom
! Calculated total energy ... -55.59 eV/cell

***

8.
! GGA-PBE TbMg2Sn, optimized geometry; values from VASP
&SYSTEM
  ibrav = 0, nat = 4, ntyp = 3
/
ATOMIC_SPECIES
Tb 158.93 Tb.upf
Mg 24.30 Mg.upf
Sn 118.71 Sn.upf
CELL_PARAMETERS angstrom
4.509 0.000 0.000
0.000 4.509 0.000
0.000 0.000 4.765
ATOMIC_POSITIONS crystal
Tb 0.000 0.000 0.000
Mg 0.000 0.500 0.500
Mg 0.500 0.000 0.500
Sn 0.500 0.500 0.000
! Crystal system ... tetragonal
! Total moment ... 0.000 Bohr magnetons per cell
! Density of states at the Fermi level ... 0.961 states/eV/cell
! Excess energy over the best structure of this formula in the dataset ... 0.00 eV/f.u.
! E_form ... -426 meV per atom
! Calculated total energy ... -13.53 eV/cell

***

9.
! GGA-PBE Tb5MgSn4, optimized geometry; values from VASP
&SYSTEM
  ibrav = 0, nat = 10, ntyp = 3
/
ATOMIC_SPECIES
Tb 158.93 Tb.upf
Mg 24.30 Mg.upf
Sn 118.71 Sn.upf
CELL_PARAMETERS angstrom
8.564 -2.207 0.000
8.564 2.207 0.000
-1.117 0.000 7.712
ATOMIC_POSITIONS crystal
Tb 0.000 0.000 0.000
Tb 0.288 0.288 0.849
Tb 0.370 0.370 0.311
Tb 0.630 0.630 0.689
Tb 0.712 0.712 0.151
Mg 0.000 0.000 0.500
Sn 0.185 0.185 0.431
Sn 0.450 0.450 0.720
Sn 0.550 0.550 0.280
Sn 0.815 0.815 0.569
! Crystal system ... monoclinic
! Total moment ... 0.001 Bohr magnetons per cell
! Density of states at the Fermi level ... 8.900 states/eV/cell
! E_form ... -362 meV per atom
! Calculated total energy ... -44.37 eV/cell

***

10.
! GGA-PBE TbMg5Sn6, optimized geometry; values from VASP
&SYSTEM
  ibrav = 0, nat = 12, ntyp = 3
/
ATOMIC_SPECIES
Tb 158.93 Tb.upf
Mg 24.30 Mg.upf
Sn 118.71 Sn.upf
CELL_PARAMETERS angstrom
4.738 -5.099 0.000
4.738 5.099 0.000
-1.221 0.000 6.237
ATOMIC_POSITIONS crystal
Tb 0.000 0.000 0.000
Mg 0.163 0.837 0.500
Mg 0.338 0.662 0.000
Mg 0.500 0.500 0.500
Mg 0.662 0.338 0.000
Mg 0.837 0.163 0.500
Sn 0.085 0.427 0.263
Sn 0.255 0.255 0.747
Sn 0.427 0.085 0.263
Sn 0.573 0.915 0.737
Sn 0.745 0.745 0.253
Sn 0.915 0.573 0.737
! Crystal system ... monoclinic
! Total moment ... 0.000 Bohr magnetons per cell
! Density of states at the Fermi level ... 5.328 states/eV/cell
! E_form ... -191 meV per atom
! Calculated total energy ... -38.91 eV/cell

***

11.
! GGA-PBE TbMgSn, optimized geometry; values from VASP
&SYSTEM
  ibrav = 0, nat = 6, ntyp = 3
/
ATOMIC_SPECIES
Tb 158.93 Tb.upf
Mg 24.30 Mg.upf
Sn 118.71 Sn.upf
CELL_PARAMETERS angstrom
-2.205 2.205 7.971
2.205 -2.205 7.971
2.205 2.205 -7.971
ATOMIC_POSITIONS crystal
Tb 0.167 0.167 0.000
Tb 0.833 0.833 0.000
Mg 0.000 0.500 0.500
Mg 0.500 0.000 0.500
Sn 0.364 0.364 0.000
Sn 0.636 0.636 0.000
! Crystal system ... tetragonal
! Total moment ... 0.000 Bohr magnetons per cell
! Density of states at the Fermi level ... 2.907 states/eV/cell
! E_form ... -586 meV per atom
! Calculated total energy ... -23.97 eV/cell

***

12.
! GGA-PBE TbMgSn, optimized geometry; values from VASP
&SYSTEM
  ibrav = 0, nat = 12, ntyp = 3
/
ATOMIC_SPECIES
Tb 158.93 Tb.upf
Mg 24.30 Mg.upf
Sn 118.71 Sn.upf
CELL_PARAMETERS angstrom
0.000 7.528 8.062
2.819 0.000 8.062
2.819 7.528 0.000
ATOMIC_POSITIONS crystal
Tb 0.015 0.760 0.240
Tb 0.240 0.985 0.015
Tb 0.760 0.015 0.985
Tb 0.985 0.240 0.760
Mg 0.310 0.690 0.310
Mg 0.407 0.407 0.593
Mg 0.593 0.593 0.407
Mg 0.690 0.310 0.690
Sn 0.136 0.480 0.520
Sn 0.480 0.136 0.864
Sn 0.520 0.864 0.136
Sn 0.864 0.520 0.480
! Crystal system ... orthorhombic
! Total moment ... 0.001 Bohr magnetons per cell
! Density of states at the Fermi level ... 11.623 states/eV/cell
! E_form ... -138 meV per atom
! Calculated total energy ... -42.57 eV/cell

***

13.
! GGA-PBE TbMgSn, optimized geometry; values from VASP
&SYSTEM
  ibrav = 0, nat = 3, ntyp = 3
/
ATOMIC_SPECIES
Tb 158.93 Tb.upf
Mg 24.30 Mg.upf
Sn 118.71 Sn.upf
CELL_PARAMETERS angstrom
-1.763 1.763 6.251
1.763 -1.763 6.251
1.763 1.763 -6.251
ATOMIC_POSITIONS crystal
Tb 0.000 0.000 0.000
Mg 0.317 0.317 0.000
Sn 0.673 0.673 0.000
! Crystal system ... tetragonal
! Total moment ... 0.000 Bohr magnetons per cell
! Density of states at the Fermi level ... 1.630 states/eV/cell
! E_form ... -300 meV per atom
! Calculated total energy ... -11.13 eV/cell

***

14.
! GGA-PBE Tb3MgSn3, optimized geometry; values from VASP
&SYSTEM
  ibrav = 0, nat = 14, ntyp = 3
/
ATOMIC_SPECIES
Tb 158.93 Tb.upf
Mg 24.30 Mg.upf
Sn 118.71 Sn.upf
CELL_PARAMETERS angstrom
9.257 0.000 0.000
-4.629 8.017 0.000
0.000 0.000 6.170
ATOMIC_POSITIONS crystal
Tb 0.041 0.353 0.250
Tb 0.312 0.959 0.250
Tb 0.353 0.312 0.750
Tb 0.647 0.688 0.250
Tb 0.688 0.041 0.750
Tb 0.959 0.647 0.750
Mg 0.333 0.667 0.750
Mg 0.667 0.333 0.250
Sn 0.034 0.349 0.750
Sn 0.316 0.966 0.750
Sn 0.349 0.316 0.250
Sn 0.651 0.684 0.750
Sn 0.684 0.034 0.250
Sn 0.966 0.651 0.250
! Crystal system ... hexagonal
! Total moment ... 0.000 Bohr magnetons per cell
! Density of states at the Fermi level ... 6.781 states/eV/cell
! E_form ... -393 meV per atom
! Calculated total energy ... -60.49 eV/cell

***

15.
! GGA-PBE Tb2Mg3Sn3, optimized geometry; values from VASP
&SYSTEM
  ibrav = 0, nat = 8, ntyp = 3
/
ATOMIC_SPECIES
Tb 158.93 Tb.upf
Mg 24.30 Mg.upf
Sn 118.71 Sn.upf
CELL_PARAMETERS angstrom
4.624 0.000 0.000
0.000 4.728 0.000
0.000 0.000 8.957
ATOMIC_POSITIONS crystal
Tb 0.000 0.000 0.243
Tb 0.000 0.000 0.757
Mg 0.000 0.500 0.500
Mg 0.500 0.500 0.255
Mg 0.500 0.500 0.745
Sn 0.000 0.500 0.000
Sn 0.500 0.000 0.000
Sn 0.500 0.000 0.500
! Crystal system ... orthorhombic
! Total moment ... 0.000 Bohr magnetons per cell
! Density of states at the Fermi level ... 3.039 states/eV/cell
! E_form ... -458 meV per atom
! Calculated total energy ... -29.72 eV/cell

***

16.
! GGA-PBE Tb2Mg2Sn7, optimized geometry; values from VASP
&SYSTEM
  ibrav = 0, nat = 11, ntyp = 3
/
ATOMIC_SPECIES
Tb 158.93 Tb.upf
Mg 24.30 Mg.upf
Sn 118.71 Sn.upf
CELL_PARAMETERS angstrom
5.384 -4.721 0.000
5.384 4.721 0.000
-0.592 0.000 5.926
ATOMIC_POSITIONS crystal
Tb 0.195 0.805 0.000
Tb 0.805 0.195 0.000
Mg 0.246 0.246 0.225
Mg 0.754 0.754 0.775
Sn 0.000 0.000 0.500
Sn 0.056 0.415 0.726
Sn 0.415 0.056 0.726
Sn 0.469 0.469 0.740
Sn 0.531 0.531 0.260
Sn 0.585 0.944 0.274
Sn 0.944 0.585 0.274
! Crystal system ... monoclinic
! Total moment ... 0.000 Bohr magnetons per cell
! Density of states at the Fermi level ... 6.730 states/eV/cell
! E_form ... -205 meV per atom
! Calculated total energy ... -42.73 eV/cell

***

17.
! GGA-PBE Tb2MgSn4, optimized geometry; values from VASP
&SYSTEM
  ibrav = 0, nat = 7, ntyp = 3
/
ATOMIC_SPECIES
Tb 158.93 Tb.upf
Mg 24.30 Mg.upf
Sn 118.71 Sn.upf
CELL_PARAMETERS angstrom
4.410 0.000 0.000
0.000 4.410 0.000
0.000 0.000 9.928
ATOMIC_POSITIONS crystal
Tb 0.000 0.500 0.249
Tb 0.500 0.000 0.751
Mg 0.500 0.500 0.000
Sn 0.000 0.000 0.500
Sn 0.000 0.500 0.808
Sn 0.500 0.000 0.192
Sn 0.500 0.500 0.500
! Crystal system ... tetragonal
! Total moment ... 0.000 Bohr magnetons per cell
! Density of states at the Fermi level ... 5.471 states/eV/cell
! E_form ... -365 meV per atom
! Calculated total energy ... -29.42 eV/cell

***

18.
! GGA-PBE TbMgSn, optimized geometry; values from VASP
&SYSTEM
  ibrav = 0, nat = 3, ntyp = 3
/
ATOMIC_SPECIES
Tb 158.93 Tb.upf
Mg 24.30 Mg.upf
Sn 118.71 Sn.upf
CELL_PARAMETERS angstrom
4.931 0.000 0.000
-2.465 4.270 0.000
0.000 0.000 3.571
ATOMIC_POSITIONS crystal
Tb 0.000 0.000 0.000
Mg 0.333 0.667 0.500
Sn 0.667 0.333 0.500
! Crystal system ... hexagonal
! Total moment ... 0.000 Bohr magnetons per cell
! Density of states at the Fermi level ... 0.989 states/eV/cell
! E_form ... -470 meV per atom
! Calculated total energy ... -11.64 eV/cell

***

19.
! GGA-PBE TbMgSn, optimized geometry; values from VASP
&SYSTEM
  ibrav = 0, nat = 6, ntyp = 3
/
ATOMIC_SPECIES
Tb 158.93 Tb.upf
Mg 24.30 Mg.upf
Sn 118.71 Sn.upf
CELL_PARAMETERS angstrom
2.251 -5.497 0.000
2.251 5.497 0.000
0.000 0.000 6.302
ATOMIC_POSITIONS crystal
Tb 0.195 0.805 0.750
Tb 0.805 0.195 0.250
Mg 0.500 0.500 0.000
Mg 0.500 0.500 0.500
Sn 0.109 0.891 0.250
Sn 0.891 0.109 0.750
! Crystal system ... orthorhombic
! Total moment ... 0.000 Bohr magnetons per cell
! Density of states at the Fermi level ... 5.083 states/eV/cell
! E_form ... -491 meV per atom
! Calculated total energy ... -23.40 eV/cell

***

20.
! GGA-PBE Tb4Mg5Sn6, optimized geometry; values from VASP
&SYSTEM
  ibrav = 0, nat = 30, ntyp = 3
/
ATOMIC_SPECIES
Tb 158.93 Tb.upf
Mg 24.30 Mg.upf
Sn 118.71 Sn.upf
CELL_PARAMETERS angstrom
2.333 -10.357 0.000
2.333 10.357 0.000
0.000 0.000 16.439
ATOMIC_POSITIONS crystal
Tb 0.015 0.985 0.500
Tb 0.034 0.966 0.766
Tb 0.161 0.839 0.300
Tb 0.173 0.827 0.940
Tb 0.827 0.173 0.440
Tb 0.839 0.161 0.800
Tb 0.966 0.034 0.266
Tb 0.985 0.015 0.000
Mg 0.156 0.844 0.624
Mg 0.304 0.696 0.617
Mg 0.340 0.660 0.272
Mg 0.347 0.653 0.980
Mg 0.441 0.559 0.678
Mg 0.559 0.441 0.178
Mg 0.653 0.347 0.480
Mg 0.660 0.340 0.772
Mg 0.696 0.304 0.117
Mg 0.844 0.156 0.124
Sn 0.111 0.889 0.114
Sn 0.230 0.770 0.472
Sn 0.238 0.762 0.769
Sn 0.429 0.571 0.412
Sn 0.430 0.570 0.128
Sn 0.441 0.559 0.852
Sn 0.559 0.441 0.352
Sn 0.570 0.430 0.628
Sn 0.571 0.429 0.912
Sn 0.762 0.238 0.269
Sn 0.770 0.230 0.972
Sn 0.889 0.111 0.614
! Crystal system ... orthorhombic
! Total moment ... 0.000 Bohr magnetons per cell
! Density of states at the Fermi level ... 4.021 states/eV/cell
! E_form ... -487 meV per atom
! Calculated total energy ... -115.62 eV/cell